SmErTh | GGA-PBE | optimized geometry

Unit cell a=7.9359 b=7.9359 c=7.9359 alpha=153.85 beta=153.85 gamma=37.32
Closest atoms and distances in Å follow each position.
Fractional positions:
Sm  0.0000  0.0000  0.0000  4 Th 3.53, 4 Sm 3.59, 4 Er 3.70
Er  0.6788  0.6788  0.0000  4 Th 3.48, 4 Er 3.59, 4 Sm 3.70
Th  0.3369  0.3369  0.0000  4 Er 3.48, 4 Sm 3.53, 4 Th 3.59

## Properties
E, eV/cell: -16.6
Energy relative to the lowest polymorph listed for this composition, meV/atom: 2
Energy of formation, meV/atom: 29.7
Magnetization, μB per cell: 0.0